{"formula": "NaVBiO4", "functional": "PBE+U", "state": "optimized geometry", "spacegroup": "P2_1/m", "e_tot_ry_per_atom": -0.4563, "magnetic_moment_mub_per_fu": 0.00, "cell": [[5.482, 0.000, 0.070], [0.000, 5.855, 0.000], [-1.921, 0.000, 7.677]], "species": ["Na", "Na", "O", "O", "O", "O", "O", "O", "O", "O", "V", "V", "Bi", "Bi"], "frac_coords": [[0.835, 0.750, 0.016], [0.165, 0.250, 0.984], [0.413, 0.750, 0.510], [0.169, 0.510, 0.205], [0.351, 0.250, 0.757], [0.831, 0.010, 0.795], [0.831, 0.490, 0.795], [0.649, 0.750, 0.243], [0.587, 0.250, 0.490], [0.169, 0.990, 0.205], [0.347, 0.750, 0.282], [0.653, 0.250, 0.718], [0.859, 0.750, 0.538], [0.141, 0.250, 0.462]]}

---

{"formula": "Na2VBiO4", "functional": "PBE+U", "state": "optimized geometry", "spacegroup": "P2/m", "e_tot_ry_per_atom": -0.4260, "magnetic_moment_mub_per_fu": 2.00, "cell": [[-0.756, 2.945, 1.335], [-3.456, -2.628, 3.841], [5.421, 0.385, 2.221]], "species": ["O", "O", "O", "O", "Na", "Na", "V", "Bi"], "frac_coords": [[0.500, 0.789, 0.795], [0.000, 0.221, 0.783], [0.500, 0.211, 0.205], [0.000, 0.779, 0.217], [0.000, 0.500, 0.500], [0.500, 0.000, 0.500], [0.000, 0.000, 0.000], [0.500, 0.500, 0.000]]}

---

{"formula": "NaV2BiO8", "functional": "PBE+U", "state": "optimized geometry", "spacegroup": "P-3m1", "e_tot_ry_per_atom": -0.4755, "magnetic_moment_mub_per_fu": 0.00, "cell": [[-2.563, -3.861, 3.463], [4.853, 2.645, 1.708], [-3.657, 4.918, 2.776]], "species": ["Bi", "O", "O", "O", "O", "O", "O", "O", "O", "V", "V", "Na"], "frac_coords": [[0.000, 0.000, 0.000], [0.333, 0.667, 0.485], [0.324, 0.162, 0.201], [0.162, 0.838, 0.799], [0.676, 0.838, 0.799], [0.667, 0.333, 0.515], [0.838, 0.162, 0.201], [0.162, 0.324, 0.799], [0.838, 0.676, 0.201], [0.333, 0.667, 0.727], [0.667, 0.333, 0.273], [0.000, 0.000, 0.500]]}

---

{"formula": "NaVBi2O6", "functional": "PBE+U", "state": "optimized geometry", "spacegroup": "P2_1/c", "e_tot_ry_per_atom": -0.4529, "magnetic_moment_mub_per_fu": 0.00, "cell": [[5.438, 0.000, 0.056], [0.000, 6.085, 0.000], [0.126, 0.000, 8.069]], "species": ["Na", "Na", "Bi", "Bi", "Bi", "Bi", "O", "O", "O", "O", "O", "O", "O", "O", "O", "O", "O", "O", "V", "V"], "frac_coords": [[0.500, 0.000, 0.000], [0.000, 0.500, 0.500], [0.511, 0.555, 0.773], [0.989, 0.055, 0.727], [0.011, 0.945, 0.273], [0.489, 0.445, 0.227], [0.195, 0.160, 0.471], [0.843, 0.752, 0.912], [0.618, 0.077, 0.280], [0.118, 0.423, 0.780], [0.805, 0.840, 0.529], [0.382, 0.923, 0.720], [0.157, 0.248, 0.088], [0.305, 0.660, 0.029], [0.882, 0.577, 0.220], [0.343, 0.748, 0.412], [0.657, 0.252, 0.588], [0.695, 0.340, 0.971], [0.000, 0.500, 0.000], [0.500, 0.000, 0.500]]}

---

{"formula": "NaBi2WO8", "functional": "PBE+U", "state": "optimized geometry", "spacegroup": "P2/m", "e_tot_ry_per_atom": -0.4410, "magnetic_moment_mub_per_fu": 0.00, "cell": [[-0.190, 0.688, 4.937], [1.146, -4.782, 0.809], [6.625, 1.593, 0.033]], "species": ["O", "O", "O", "O", "O", "O", "O", "O", "Bi", "Bi", "W", "Na"], "frac_coords": [[0.313, 0.311, 0.500], [0.813, 0.187, 0.207], [0.287, 0.286, 0.000], [0.687, 0.689, 0.500], [0.187, 0.813, 0.793], [0.187, 0.813, 0.207], [0.813, 0.187, 0.793], [0.713, 0.714, 0.000], [0.500, 0.500, 0.254], [0.500, 0.500, 0.746], [0.000, 0.000, 0.000], [0.000, 0.000, 0.500]]}

---

{"formula": "NaBiWO6", "functional": "PBE+U", "state": "optimized geometry", "spacegroup": "P312", "e_tot_ry_per_atom": -0.4473, "magnetic_moment_mub_per_fu": 0.00, "cell": [[-3.603, 1.590, 2.412], [-0.994, -4.959, 1.785], [3.272, 3.236, 2.754]], "species": ["Bi", "W", "O", "O", "O", "O", "O", "O", "Na"], "frac_coords": [[0.000, 0.333, 0.667], [0.500, 0.000, 0.000], [0.742, 0.289, 0.981], [0.258, 0.289, 0.308], [0.742, 0.019, 0.308], [0.258, 0.019, 0.711], [0.742, 0.692, 0.711], [0.258, 0.692, 0.981], [0.500, 0.667, 0.333]]}